# Y2As2PdPt, relaxed, DFT PBE-GGA
data_Y2As2PdPt
_chemical_formula_sum 'Y8 As8 Pd4 Pt4'
_space_group_name_H-M_alt 'P 1 m 1'
_space_group_IT_number 6
_cell_length_a 7.8439
_cell_length_b 4.5280
_cell_length_c 15.0226
_cell_angle_alpha 90.00
_cell_angle_beta 100.02
_cell_angle_gamma 90.00
loop_
_space_group_symop_operation_xyz
'x,y,z'
'x,-y,z'
loop_
_atom_site_label
_atom_site_type_symbol
_atom_site_fract_x
_atom_site_fract_y
_atom_site_fract_z
_atom_site_occupancy
Y1 Y 0.0000 0.0000 0.0000 1
Y2 Y 0.0004 0.5000 0.4986 1
Y3 Y 0.2472 0.0000 0.7478 1
Y4 Y 0.2485 0.5000 0.2485 1
Y5 Y 0.4978 0.0000 0.4983 1
Y6 Y 0.4995 0.5000 0.0003 1
Y7 Y 0.7495 0.0000 0.2475 1
Y8 Y 0.7506 0.5000 0.7475 1
As1 As 0.1239 0.0000 0.3735 1
As2 As 0.1244 0.5000 0.8743 1
As3 As 0.3743 0.0000 0.1243 1
As4 As 0.3746 0.5000 0.6235 1
As5 As 0.6244 0.0000 0.8738 1
As6 As 0.6247 0.5000 0.3735 1
As7 As 0.8736 0.0000 0.6228 1
As8 As 0.8745 0.5000 0.1239 1
Pd1 Pd 0.0630 0.0000 0.1873 1
Pd2 Pd 0.0626 0.5000 0.6858 1
Pd3 Pd 0.3122 0.5000 0.4353 1
Pd4 Pd 0.5614 0.5000 0.1880 1
Pt1 Pt 0.3121 0.0000 0.9346 1
Pt2 Pt 0.5607 0.0000 0.6867 1
Pt3 Pt 0.8103 0.0000 0.4353 1
Pt4 Pt 0.8103 0.5000 0.9347 1
# raw total energy = -6.69 eV/atom
# volume = 21.89 Å³ per atom